1.
A geometry-optimized GaIr2W structure. Source: Alexandria, functional GGA-PBE.

a = 2.835 Å, b = 2.835 Å, c = 7.362 Å
α = 90.00°, β = 90.00°, γ = 90.00°
Fractional coordinates of all 4 atoms:
Ga1 0.000 0.000 0.000
Ir1 0.500 0.500 0.245
Ir2 0.500 0.500 0.755
W1 0.000 0.000 0.500

## Properties
* M_tot: 0.0 μB/f.u.
* ΔE_f: -358 meV/atom
* VASP energy: -0.6456 Ry/atom


2.
A geometry-optimized Ga2IrW structure. Source: Alexandria, functional GGA-PBE.

a = 5.652 Å, b = 5.652 Å, c = 5.652 Å
α = 102.88°, β = 102.88°, γ = 123.65°
Fractional coordinates of all 8 atoms:
Ga1 0.106 0.625 0.981
Ga2 0.375 0.356 0.481
Ga3 0.644 0.125 0.019
Ga4 0.875 0.894 0.519
Ir1 0.000 0.000 0.000
Ir2 0.750 0.250 0.500
W1 0.250 0.750 0.500
W2 0.500 0.500 0.000

## Properties
* M_tot: 0.0 μB/f.u.
* ΔE_f: 445 meV/atom
* excess energy over the best structure of this formula in the dataset: 0.291 eV per atom
* VASP energy: -0.4793 Ry/atom